(1)
Compound: Sm2CuSe4
Source: Alexandria via LeMat-Bulk
Functional: GGA-PBE
Structure: optimized geometry

It has space group P2_1/m (No. 11), with a = 7.123 Å, b = 5.842 Å, c = 8.255 Å, α = 90.00°, β = 106.81° and γ = 90.00°. The asymmetric unit holds Sm at (0.230, 0.250, 0.433), Sm at (0.239, 0.250, 0.934), Cu at (0.235, 0.750, 0.683), Se at (0.073, 0.750, 0.899), Se at (0.074, 0.750, 0.387) and Se at (0.487, 0.509, 0.246).

The calculation puts the uncorrected formation energy at -1366 meV per atom. The calculation puts the total energy at -5.291 eV/atom.


(2)
Compound: Sm6CuSe8
Source: Alexandria via LeMat-Bulk
Functional: GGA-PBE
Structure: optimized geometry

It has space group R-3 (No. 148, hexagonal axes), with a = 8.6349 Å, b = 8.6349 Å, c = 17.6877 Å, α = 90.00°, β = 90.00° and γ = 120.00°. The asymmetric unit holds Sm at (0.0006, 0.3808, 0.0803), Cu at (0.0000, 0.0000, 0.0000), Se at (0.0000, 0.0000, 0.3287) and Se at (0.0047, 0.7359, 0.0889).

The calculation puts the uncorrected formation energy at -1610 meV per atom. The calculation puts the total energy at -5.629 eV/atom.


(3)
Compound: Sm2CuSe
Source: Alexandria via LeMat-Bulk
Functional: GGA-PBE
Structure: optimized geometry

It has space group R-3m (No. 166, hexagonal axes), with a = 4.0714 Å, b = 4.0714 Å, c = 21.3735 Å, α = 90.00°, β = 90.00° and γ = 120.00°. The asymmetric unit holds Sm at (0.0000, 0.0000, 0.2491), Cu at (0.0000, 0.0000, 0.5000) and Se at (0.0000, 0.0000, 0.0000).

The calculation puts the uncorrected formation energy at -926 meV per atom. The calculation puts the total energy at -5.180 eV/atom.


D(E_F)? In order: 0.2036 0.3439 1.0186 states/eV/atom.